(1)
GeSeBr | Alexandria | PBE-GGA | optimized geometry; excess energy over the best structure of this formula in the dataset = 0.043 eV per atom; VASP energy = -21.58 eV for the cell shown; total magnetization = 0.00 μB/cell; density of states at the Fermi level = 2.8 states/eV/cell
1.0
4.633 -0.009 1.118
-0.529 6.208 2.262
0.483 2.338 8.187
Se Ge Br
2 2 2
Direct
0.316 0.291 0.390 Se
0.030 0.416 0.962 Se
0.841 0.183 0.341 Ge
0.506 0.524 0.011 Ge
0.579 0.963 0.864 Br
0.768 0.743 0.488 Br

(2)
CsSm6S8 | Alexandria | PBE-GGA | optimized geometry; VASP energy = -89.27 eV for the cell shown; total magnetization = 0.00 μB/cell; density of states at the Fermi level = 8.6 states/eV/cell
1.0
-5.972 -5.136 1.452
3.883 -5.176 -4.721
4.078 -2.224 6.525
Cs S Sm
1 8 6
Direct
0.000 0.000 0.000 Cs
0.586 0.854 0.314 S
0.741 0.741 0.741 S
0.854 0.314 0.586 S
0.686 0.414 0.146 S
0.314 0.586 0.854 S
0.259 0.259 0.259 S
0.146 0.686 0.414 S
0.414 0.146 0.686 S
0.620 0.429 0.807 Sm
0.807 0.620 0.429 Sm
0.193 0.380 0.571 Sm
0.571 0.193 0.380 Sm
0.429 0.807 0.620 Sm
0.380 0.571 0.193 Sm